No. 1
Here is a relaxed CoPPt2 crystal from Alexandria via LeMat-Bulk. Energies are from PBE-GGA.

The structure belongs to space group I-4m2 (No. 119); the cell edges are 3.844, 3.844 and 7.653 Å and the angles 90.00°, 90.00° and 90.00°. The distinct sites, in fractional coordinates, are Co at (0.000, 0.000, 0.000), P at (0.000, 0.500, 0.750), Pt at (0.000, 0.000, 0.500) and Pt at (0.000, 0.500, 0.250).

For the magnetic moment, the calculation gives 2.35 μB/f.u. The formation energy is 0.102 eV/atom. The density of states at the Fermi level is 1.201 states/eV/atom.



No. 2
Here is a relaxed Ac6Rh3SeS2 crystal from Alexandria via LeMat-Bulk. Energies are from PBE-GGA.

The structure belongs to space group C2/m (No. 12); the cell edges are 19.517, 4.287 and 9.036 Å and the angles 90.00°, 107.34° and 90.00°. The distinct sites, in fractional coordinates, are Ac at (0.004, 0.000, 0.234), Ac at (0.164, 0.500, 0.092), Ac at (0.173, 0.500, 0.575), Rh at (0.000, 0.500, 0.000), Rh at (0.166, 0.000, 0.331), Se at (0.000, 0.500, 0.500) and S at (0.167, 0.000, 0.834).

For the magnetic moment, the calculation gives 0.00 μB/f.u. Its raw formation energy is -1279.9 meV/atom. The density of states at the Fermi level is 0.621 states/eV/atom.



No. 3
Here is a relaxed Ni2Ir4Rh3 crystal from Alexandria via LeMat-Bulk. Energies are from PBE-GGA.

The structure belongs to space group C2/m (No. 12); the cell edges are 13.478, 3.773 and 6.138 Å and the angles 90.00°, 116.88° and 90.00°. The distinct sites, in fractional coordinates, are Ni at (0.018, 0.000, 0.220), Ir at (0.151, 0.000, 0.679), Ir at (0.172, 0.500, 0.402), Rh at (0.000, 0.500, 0.500) and Rh at (0.187, 0.000, 0.115).

For the magnetic moment, the calculation gives 0.00 μB/f.u. The formation energy is 0.347 eV/atom. The density of states at the Fermi level is 1.647 states/eV/atom. Its energy relative to the lowest polymorph listed for this composition is 211 meV per atom.



No. 4
Here is a relaxed Sr8InGa2 crystal from Alexandria via LeMat-Bulk. Energies are from PBE-GGA.

The structure belongs to space group Imm2 (No. 44); the cell edges are 5.826, 18.636 and 8.018 Å and the angles 90.00°, 90.00° and 90.00°. The distinct sites, in fractional coordinates, are Sr at (0.000, 0.000, 0.000), Sr at (0.000, 0.104, 0.580), Sr at (0.000, 0.289, 0.895), Sr at (0.000, 0.342, 0.433), Sr at (0.000, 0.500, 0.803), In at (0.000, 0.500, 0.218) and Ga at (0.000, 0.161, 0.189).

For the magnetic moment, the calculation gives 0.00 μB/f.u. The formation energy is -0.231 eV/atom. The density of states at the Fermi level is 0.518 states/eV/atom. Its energy relative to the lowest polymorph listed for this composition is 7 meV per atom.



No. 5
Here is a relaxed ErCdSn crystal from Alexandria via LeMat-Bulk. Energies are from PBE-GGA.

The structure belongs to space group P3m1 (No. 156); the cell edges are 4.9679, 4.9679 and 3.4510 Å and the angles 90.00°, 90.00° and 120.00°. The distinct sites, in fractional coordinates, are Er at (0.0000, 0.0000, 0.0000), Cd at (0.3333, 0.6667, 0.4943) and Sn at (0.6667, 0.3333, 0.5041).

For the magnetic moment, the calculation gives 0.00 μB/f.u. The formation energy is -0.397 eV/atom. The density of states at the Fermi level is 0.449 states/eV/atom.



No. 6
Here is a relaxed CuGe2PRu crystal from Alexandria via LeMat-Bulk. Energies are from PBE-GGA.

The structure belongs to space group P4/mmm (No. 123); the cell edges are 4.581, 4.581 and 4.359 Å and the angles 90.00°, 90.00° and 90.00°. The distinct sites, in fractional coordinates, are Cu at (0.000, 0.000, 0.000), Ge at (0.000, 0.500, 0.000), P at (0.000, 0.000, 0.500) and Ru at (0.500, 0.500, 0.500).

For the magnetic moment, the calculation gives 0.10 μB/f.u. The formation energy is 1.005 eV/atom. The density of states at the Fermi level is 0.792 states/eV/atom.



No. 7
Here is a relaxed K3Rb4SnCl8 crystal from Alexandria via LeMat-Bulk. Energies are from PBE-GGA.

The structure belongs to space group C2/m (No. 12); the cell edges are 16.393, 9.046 and 9.105 Å and the angles 90.00°, 122.14° and 90.00°. The distinct sites, in fractional coordinates, are K at (0.000, 0.000, 0.000), K at (0.250, 0.250, 0.500), Rb at (0.000, 0.000, 0.500), Rb at (0.000, 0.500, 0.500), Rb at (0.250, 0.250, 0.000), Sn at (0.000, 0.500, 0.000), Cl at (0.006, 0.263, 0.234), Cl at (0.222, 0.000, 0.712) and Cl at (0.247, 0.000, 0.255).

For the magnetic moment, the calculation gives 1.00 μB/f.u. Its raw formation energy is -1705.0 meV/atom.



No. 8
Here is a relaxed Dy2ZrSc crystal from Alexandria via LeMat-Bulk. Energies are from PBE-GGA.

The structure belongs to space group P4/mmm (No. 123); the cell edges are 4.768, 4.768 and 4.744 Å and the angles 90.00°, 90.00° and 90.00°. The distinct sites, in fractional coordinates, are Dy at (0.000, 0.500, 0.000), Zr at (0.000, 0.000, 0.500) and Sc at (0.500, 0.500, 0.500).

For the magnetic moment, the calculation gives 0.00 μB/f.u. The formation energy is 0.082 eV/atom. The density of states at the Fermi level is 1.319 states/eV/atom. Its energy relative to the lowest polymorph listed for this composition is 0 meV per atom.